# 1
# PBE Ac2Y3Cd4, relaxed
# Energy relative to the elements (meV per atom): -189.4
data_Ac2Y3Cd4
_chemical_formula_sum 'Ac8 Y12 Cd16'
_symmetry_space_group_name_H-M 'C m c e'
_symmetry_Int_Tables_number 64
_symmetry_space_group_name_Hall '-C 2ac 2'
_cell_length_a 7.0735
_cell_length_b 18.7746
_cell_length_c 8.4848
_cell_angle_alpha 90.00
_cell_angle_beta 90.00
_cell_angle_gamma 90.00
loop_
_atom_site_label
_atom_site_type_symbol
_atom_site_fract_x
_atom_site_fract_y
_atom_site_fract_z
Ac1 Ac 0.0000 0.0952 0.0984
Y1 Y 0.0000 0.0000 0.5000
Y2 Y 0.2500 0.2424 0.7500
Cd1 Cd 0.0000 0.1659 0.4881
Cd2 Cd 0.2500 0.0730 0.7500

=====

# 2
# PBE La4PmTl, relaxed
# Energy relative to the lowest polymorph listed for this composition (meV/atom): 30.8
# Energy relative to the elements (meV per atom): -95.1
data_La4PmTl
_chemical_formula_sum 'La16 Pm4 Tl4'
_symmetry_space_group_name_H-M 'C 1 2/c 1'
_symmetry_Int_Tables_number 15
_symmetry_space_group_name_Hall '-C 2yc'
_cell_length_a 10.4673
_cell_length_b 14.2891
_cell_length_c 6.6038
_cell_angle_alpha 90.00
_cell_angle_beta 122.11
_cell_angle_gamma 90.00
loop_
_atom_site_label
_atom_site_type_symbol
_atom_site_fract_x
_atom_site_fract_y
_atom_site_fract_z
La1 La 0.1703 0.0602 0.2206
La2 La 0.1696 0.1985 0.6951
Pm1 Pm 0.0000 0.3866 0.2500
Tl1 Tl 0.0000 0.3884 0.7500

=====

Asked for size of the total moment across the records above, the calculation gives 0.00, 0.00 μB/f.u. in order.